1.
This record from Alexandria describes an optimized crystal structure of Ta3NbRu. The functional is PBE-GGA.

Summary:
total magnetization: 0.00 μB per formula unit
final energy: -10.7109 eV/atom
ΔE to the lowest computed polymorph: 470 meV per atom
energy relative to the elements: 1.3 eV/f.u.

a = 15.5171 Å, b = 2.8403 Å, c = 8.7057 Å
α = 90.00°, β = 107.93°, γ = 90.00°
Closest atoms and distances in Å follow each position.
Space group C2/m (No. 12)
One atom of each set of equivalent atoms:
Ta 0.0070 0.0000 0.2103  4 Ru 2.73-2.74, 1 Nb 2.79, 3 Ta 2.84-2.94
Ta 0.1915 0.0000 0.8698  3 Ru 2.77-3.07, 1 Nb 2.78, 6 Ta 2.81-2.94
Ta 0.1980 0.5000 0.3461  1 Ru 2.58, 2 Ta 2.84
Nb 0.0977 0.0000 0.5415  6 Ta 2.78-3.08, 3 Nb 2.84-2.89
Ru 0.1012 0.5000 0.0463  7 Ta 2.58-2.77, 2 Ru 2.84

2.
This record from Alexandria describes an optimized crystal structure of Mg4Pt. The functional is PBE-GGA.

Summary:
total magnetization: 0.00 μB per formula unit
final energy: -2.8839 eV/atom
energy relative to the elements: -2.0 eV/f.u.

a = 5.6655 Å, b = 7.9626 Å, c = 4.6849 Å
α = 90.00°, β = 90.00°, γ = 90.00°
Closest atoms and distances in Å follow each position.
Space group Pbam (No. 55)
One atom of each set of equivalent atoms:
Mg 0.0956 0.1742 0.0000  2 Pt 2.65-2.68
Mg 0.2327 0.4268 0.5000  2 Pt 2.75, 1 Mg 2.88
Pt 0.0000 0.5000 0.0000  8 Mg 2.65-2.75

3.
This record from Alexandria describes an optimized crystal structure of PrU2F8. The functional is PBE-GGA.

Summary:
total magnetization: 6.94 μB per formula unit
final energy: -7.1737 eV/atom
formation energy (no corrections): -3326 meV per atom

a = 3.8722 Å, b = 6.8863 Å, c = 11.1991 Å
α = 90.00°, β = 90.00°, γ = 90.00°
Closest atoms and distances in Å follow each position.
Space group Immm (No. 71)
One atom of each set of equivalent atoms:
Pr 0.0000 0.0000 0.0000  8 F 2.52-2.59
U 0.0000 0.0000 0.3211  8 F 2.43-2.57
F 0.0000 0.1987 0.5000  2 U 2.43, 6 F 2.63-2.66
F 0.0000 0.2681 0.1618  3 U 2.52-2.57, 1 Pr 2.59, 7 F 2.66-2.78
F 0.0000 0.5000 0.3561  2 Pr 2.52, 8 F 2.63-2.70, 2 U 2.77